No. 1
Tb8Nd3Y4: relaxed, PBE.

POSCAR file:
```
Tb8Nd3Y4
1.0
6.823 -0.066 -0.095
-3.310 8.617 1.161
-3.310 -1.902 8.484
Tb Y Nd
8 4 3
Direct
0.988 0.736 0.736
0.012 0.264 0.264
0.000 0.643 0.357
0.500 0.745 0.255
0.000 0.357 0.643
0.456 0.729 0.729
0.500 0.255 0.745
0.544 0.271 0.271
0.500 0.000 0.000
0.000 0.000 0.000
0.000 0.500 0.000
0.000 0.000 0.500
0.500 0.500 0.500
0.500 0.000 0.500
0.500 0.500 0.000
```

Output
Raw total energy (eV per atom): -4.77
Formation energy (eV per atom): 0.38

No. 2
SiTe2: relaxed, PBE.

POSCAR file:
```
SiTe2
1.0
1.947 -12.027 0.000
1.947 12.027 0.000
0.000 0.000 3.722
Te Si
4 2
Direct
0.816 0.184 0.750
0.184 0.816 0.250
0.451 0.549 0.750
0.549 0.451 0.250
0.892 0.108 0.250
0.108 0.892 0.750
```

Output
Raw total energy (eV per atom): -3.63